{
  "formula": "Tb2Au",
  "functional": "PBE",
  "state": "optimized geometry",
  "lattice_angstrom": [[7.128, 0.000, 0.000], [0.000, 4.996, 0.000], [0.000, 0.000, 9.005]],
  "species": ["Tb", "Tb", "Tb", "Tb", "Tb", "Tb", "Tb", "Tb", "Au", "Au", "Au", "Au"],
  "fractional_positions": [[0.011, 0.250, 0.176], [0.150, 0.250, 0.582], [0.350, 0.750, 0.082], [0.489, 0.750, 0.676], [0.511, 0.250, 0.324], [0.650, 0.250, 0.918], [0.850, 0.750, 0.418], [0.989, 0.750, 0.824], [0.241, 0.250, 0.903], [0.259, 0.750, 0.403], [0.741, 0.250, 0.597], [0.759, 0.750, 0.097]],
  "sg": "Pnma",
  "ef_ev_per_atom": -0.63
}


{
  "formula": "Tb2TcAu",
  "functional": "PBE",
  "state": "optimized geometry",
  "lattice_angstrom": [[3.496, 0.000, 0.000], [0.000, 3.496, 0.000], [0.000, 0.000, 7.195]],
  "species": ["Tb", "Tb", "Tc", "Au"],
  "fractional_positions": [[0.000, 0.000, 0.230], [0.000, 0.000, 0.770], [0.500, 0.500, 0.000], [0.500, 0.500, 0.500]],
  "sg": "P4/mmm",
  "ef_ev_per_atom": -0.42
}


{
  "formula": "TbTmTcAu",
  "functional": "PBE",
  "state": "optimized geometry",
  "lattice_angstrom": [[0.000, 3.487, 3.487], [3.487, 0.000, 3.487], [3.487, 3.487, 0.000]],
  "species": ["Tb", "Tm", "Tc", "Au"],
  "fractional_positions": [[0.000, 0.000, 0.000], [0.500, 0.500, 0.500], [0.250, 0.250, 0.250], [0.750, 0.750, 0.750]],
  "sg": "F-43m",
  "ef_ev_per_atom": -0.38
}


{
  "formula": "TbYTcAu",
  "functional": "PBE",
  "state": "optimized geometry",
  "lattice_angstrom": [[0.000, 3.515, 3.515], [3.515, 0.000, 3.515], [3.515, 3.515, 0.000]],
  "species": ["Tb", "Y", "Tc", "Au"],
  "fractional_positions": [[0.000, 0.000, 0.000], [0.500, 0.500, 0.500], [0.250, 0.250, 0.250], [0.750, 0.750, 0.750]],
  "sg": "F-43m",
  "ef_ev_per_atom": -0.34
}


{
  "formula": "TbZrTcAu",
  "functional": "PBE",
  "state": "optimized geometry",
  "lattice_angstrom": [[0.000, 3.438, 3.438], [3.438, 0.000, 3.438], [3.438, 3.438, 0.000]],
  "species": ["Tb", "Zr", "Tc", "Au"],
  "fractional_positions": [[0.000, 0.000, 0.000], [0.500, 0.500, 0.500], [0.750, 0.750, 0.750], [0.250, 0.250, 0.250]],
  "sg": "F-43m",
  "ef_ev_per_atom": -0.34
}


{
  "formula": "Tb3TeAu",
  "functional": "PBE",
  "state": "optimized geometry",
  "lattice_angstrom": [[11.941, 0.000, 0.000], [0.000, 3.969, 0.000], [0.000, 0.000, 12.026]],
  "species": ["Tb", "Tb", "Tb", "Tb", "Tb", "Tb", "Tb", "Tb", "Tb", "Tb", "Tb", "Tb", "Te", "Te", "Te", "Te", "Au", "Au", "Au", "Au"],
  "fractional_positions": [[0.047, 0.250, 0.126], [0.152, 0.750, 0.556], [0.225, 0.250, 0.793], [0.275, 0.750, 0.293], [0.348, 0.250, 0.056], [0.453, 0.750, 0.626], [0.547, 0.250, 0.374], [0.652, 0.750, 0.944], [0.725, 0.250, 0.707], [0.775, 0.750, 0.207], [0.848, 0.250, 0.444], [0.953, 0.750, 0.874], [0.015, 0.750, 0.329], [0.485, 0.250, 0.829], [0.515, 0.750, 0.171], [0.985, 0.250, 0.671], [0.178, 0.750, 0.988], [0.322, 0.250, 0.488], [0.678, 0.750, 0.512], [0.822, 0.250, 0.012]],
  "sg": "Pnma",
  "raw_formation_energy_ev_per_atom": -0.85
}


{
  "formula": "Tb5Te4Au",
  "functional": "PBE",
  "state": "optimized geometry",
  "lattice_angstrom": [[-2.154, 2.154, 15.718], [2.154, -2.154, 15.718], [2.154, 2.154, -15.718]],
  "species": ["Tb", "Tb", "Tb", "Tb", "Tb", "Te", "Te", "Te", "Te", "Au"],
  "fractional_positions": [[0.000, 0.000, 0.000], [0.208, 0.208, 0.000], [0.409, 0.409, 0.000], [0.591, 0.591, 0.000], [0.792, 0.792, 0.000], [0.106, 0.106, 0.000], [0.307, 0.307, 0.000], [0.693, 0.693, 0.000], [0.894, 0.894, 0.000], [0.500, 0.500, 0.000]],
  "sg": "I4/mmm",
  "polymorph_energy_mev_per_atom": 31.8,
  "raw_formation_energy_ev_per_atom": -1.21
}


{
  "formula": "Tb2Te4Au",
  "functional": "PBE",
  "state": "optimized geometry",
  "lattice_angstrom": [[7.729, 0.000, 0.000], [0.000, 6.249, 0.000], [-2.305, 0.000, 8.441]],
  "species": ["Tb", "Tb", "Tb", "Tb", "Te", "Te", "Te", "Te", "Te", "Te", "Te", "Te", "Au", "Au"],
  "fractional_positions": [[0.208, 0.250, 0.422], [0.263, 0.250, 0.942], [0.737, 0.750, 0.058], [0.792, 0.750, 0.578], [0.064, 0.750, 0.354], [0.080, 0.750, 0.925], [0.478, 0.506, 0.252], [0.478, 0.994, 0.252], [0.522, 0.006, 0.748], [0.522, 0.494, 0.748], [0.920, 0.250, 0.075], [0.936, 0.250, 0.646], [0.205, 0.750, 0.666], [0.795, 0.250, 0.334]],
  "sg": "P2_1/m",
  "raw_formation_energy_ev_per_atom": -0.91
}